No. 1
The following is a PBE-GGA calculation of crystalline Sr2MnFe at its relaxed geometry, from Alexandria via LeMat-Bulk.

Properties
Energy relative to the elements: 0.68 eV/atom
E above lowest polymorph: 0.3178 eV per atom

Structure (CIF):
```
data_Sr2MnFe
_chemical_formula_sum 'Sr8 Mn4 Fe4'
_cell_length_a 11.396
_cell_length_b 11.396
_cell_length_c 4.236
_cell_angle_alpha 90.00
_cell_angle_beta 90.00
_cell_angle_gamma 90.00
_symmetry_space_group_name_H-M 'I -4 2 d'
_symmetry_Int_Tables_number 122
_symmetry_space_group_name_Hall 'I -4 2bw'
loop_
_atom_site_label
_atom_site_type_symbol
_atom_site_fract_x
_atom_site_fract_y
_atom_site_fract_z
Sr1 Sr 0.060 0.250 0.125
Mn1 Mn 0.000 0.000 0.500
Fe1 Fe 0.000 0.000 0.000
```

***

No. 2
The following is a PBE-GGA calculation of crystalline LiEr2Co at its relaxed geometry, from Alexandria via LeMat-Bulk.

Properties
Energy relative to the elements: -0.11 eV/atom
E above lowest polymorph: 0.0000 eV per atom

Structure (CIF):
```
data_LiEr2Co
_chemical_formula_sum 'Li4 Er8 Co4'
_cell_length_a 6.802
_cell_length_b 6.802
_cell_length_c 6.802
_cell_angle_alpha 90.00
_cell_angle_beta 90.00
_cell_angle_gamma 90.00
_symmetry_space_group_name_H-M 'F m -3 m'
_symmetry_Int_Tables_number 225
_symmetry_space_group_name_Hall '-F 4 2 3'
loop_
_atom_site_label
_atom_site_type_symbol
_atom_site_fract_x
_atom_site_fract_y
_atom_site_fract_z
Li1 Li 0.000 0.000 0.000
Er1 Er 0.250 0.250 0.250
Co1 Co 0.000 0.000 0.500
```

***

No. 3
The following is a PBE-GGA calculation of crystalline Pm4PSeBr2 at its relaxed geometry, from Alexandria via LeMat-Bulk.

Properties
ΔE_f (raw): -1481 meV per atom

Structure (CIF):
```
data_Pm4PSeBr2
_chemical_formula_sum 'Pm4 P1 Se1 Br2'
_cell_length_a 7.356
_cell_length_b 4.176
_cell_length_c 7.471
_cell_angle_alpha 90.00
_cell_angle_beta 108.67
_cell_angle_gamma 90.00
_symmetry_space_group_name_H-M 'P 1 2/m 1'
_symmetry_Int_Tables_number 10
loop_
_symmetry_equiv_pos_as_xyz
'x,y,z'
'-x,-y,-z'
'-x,y,-z'
'x,-y,z'
loop_
_atom_site_label
_atom_site_type_symbol
_atom_site_fract_x
_atom_site_fract_y
_atom_site_fract_z
Pm1 Pm 0.222 0.000 0.204
Pm2 Pm 0.249 0.500 0.794
P1 P 0.000 0.500 0.000
Se1 Se 0.500 0.000 0.000
Br1 Br 0.000 0.000 0.500
Br2 Br 0.500 0.500 0.500
```

***

No. 4
The following is a PBE-GGA calculation of crystalline Mn8H2N at its relaxed geometry, from Alexandria via LeMat-Bulk.

Structure (CIF):
```
data_Mn8H2N
_chemical_formula_sum 'Mn16 H4 N2'
_cell_length_a 9.249
_cell_length_b 5.229
_cell_length_c 4.341
_cell_angle_alpha 90.00
_cell_angle_beta 90.35
_cell_angle_gamma 90.00
_symmetry_space_group_name_H-M 'C 1 2/m 1'
_symmetry_Int_Tables_number 12
loop_
_symmetry_equiv_pos_as_xyz
'x,y,z'
'-x,-y,-z'
'-x,y,-z'
'x,-y,z'
'x+1/2,y+1/2,z'
'-x+1/2,-y+1/2,-z'
'-x+1/2,y+1/2,-z'
'x+1/2,-y+1/2,z'
loop_
_atom_site_label
_atom_site_type_symbol
_atom_site_fract_x
_atom_site_fract_y
_atom_site_fract_z
Mn1 Mn 0.085 0.244 0.271
Mn2 Mn 0.161 0.000 0.739
Mn3 Mn 0.167 0.500 0.726
H1 H 0.173 0.500 0.124
N1 N 0.000 0.000 0.000
```

***

No. 5
The following is a PBE-GGA calculation of crystalline SrIn12Sn6 at its relaxed geometry, from Alexandria via LeMat-Bulk.

Properties
Energy relative to the elements: 0.00 eV/atom
E above lowest polymorph: 0.0000 eV per atom

Structure (CIF):
```
data_SrIn12Sn6
_chemical_formula_sum 'Sr3 In36 Sn18'
_cell_length_a 10.6174
_cell_length_b 10.6174
_cell_length_c 17.0605
_cell_angle_alpha 90.00
_cell_angle_beta 90.00
_cell_angle_gamma 120.00
_symmetry_space_group_name_H-M 'R -3'
_symmetry_Int_Tables_number 148
_symmetry_space_group_name_Hall '-R 3'
loop_
_atom_site_label
_atom_site_type_symbol
_atom_site_fract_x
_atom_site_fract_y
_atom_site_fract_z
Sr1 Sr 0.0000 0.0000 0.0000
In1 In 0.0058 0.1792 0.1746
In2 In 0.0762 0.2098 0.4220
Sn1 Sn 0.0245 0.4708 0.3523
```

***

No. 6
The following is a PBE-GGA calculation of crystalline Li2Pd2PbO6 at its relaxed geometry, from Alexandria via LeMat-Bulk.

Properties
ΔE_f (raw): -901 meV per atom

Structure (CIF):
```
data_Li2Pd2PbO6
_chemical_formula_sum 'Li4 Pd4 Pb2 O12'
_cell_length_a 5.721
_cell_length_b 9.615
_cell_length_c 5.333
_cell_angle_alpha 90.00
_cell_angle_beta 108.37
_cell_angle_gamma 90.00
_symmetry_space_group_name_H-M 'C 1 2/m 1'
_symmetry_Int_Tables_number 12
loop_
_symmetry_equiv_pos_as_xyz
'x,y,z'
'-x,-y,-z'
'-x,y,-z'
'x,-y,z'
'x+1/2,y+1/2,z'
'-x+1/2,-y+1/2,-z'
'-x+1/2,y+1/2,-z'
'x+1/2,-y+1/2,z'
loop_
_atom_site_label
_atom_site_type_symbol
_atom_site_fract_x
_atom_site_fract_y
_atom_site_fract_z
Li1 Li 0.000 0.227 0.000
Pd1 Pd 0.000 0.338 0.500
Pb1 Pb 0.000 0.000 0.500
O1 O 0.204 0.185 0.729
O2 O 0.214 0.500 0.708
```

***

No. 7
The following is a PBE-GGA calculation of crystalline UAlSb at its relaxed geometry, from Alexandria via LeMat-Bulk.

Properties
ΔE_f (raw): -67 meV per atom

Structure (CIF):
```
data_UAlSb
_chemical_formula_sum 'U4 Al4 Sb4'
_cell_length_a 3.148
_cell_length_b 18.505
_cell_length_c 4.772
_cell_angle_alpha 90.00
_cell_angle_beta 90.00
_cell_angle_gamma 90.00
_symmetry_space_group_name_H-M 'C m c m'
_symmetry_Int_Tables_number 63
_symmetry_space_group_name_Hall '-C 2c 2'
loop_
_atom_site_label
_atom_site_type_symbol
_atom_site_fract_x
_atom_site_fract_y
_atom_site_fract_z
U1 U 0.000 0.109 0.250
Al1 Al 0.000 0.466 0.250
Sb1 Sb 0.000 0.311 0.250
```

***

No. 8
The following is a PBE-GGA calculation of crystalline AgHgS3 at its relaxed geometry, from Alexandria via LeMat-Bulk.

Properties
ΔE_f (raw): 60 meV per atom
E above lowest polymorph: 0.0000 eV per atom

Structure (CIF):
```
data_AgHgS3
_chemical_formula_sum 'Ag4 Hg4 S12'
_cell_length_a 5.061
_cell_length_b 8.160
_cell_length_c 13.445
_cell_angle_alpha 90.00
_cell_angle_beta 102.93
_cell_angle_gamma 90.00
_symmetry_space_group_name_H-M 'P 1 21/c 1'
_symmetry_Int_Tables_number 14
loop_
_symmetry_equiv_pos_as_xyz
'x,y,z'
'-x,-y,-z'
'-x,y+1/2,-z+1/2'
'x,-y+1/2,z+1/2'
loop_
_atom_site_label
_atom_site_type_symbol
_atom_site_fract_x
_atom_site_fract_y
_atom_site_fract_z
Ag1 Ag 0.172 0.173 0.182
Hg1 Hg 0.080 0.133 0.952
S1 S 0.159 0.091 0.379
S2 S 0.223 0.011 0.668
S3 S 0.353 0.565 0.318
```

***

No. 9
The following is a PBE-GGA calculation of crystalline LiZnP2 at its relaxed geometry, from Alexandria via LeMat-Bulk.

Properties
Energy relative to the elements: -0.07 eV/atom

Structure (CIF):
```
data_LiZnP2
_chemical_formula_sum 'Li1 Zn1 P2'
_cell_length_a 3.475
_cell_length_b 3.475
_cell_length_c 5.157
_cell_angle_alpha 90.00
_cell_angle_beta 90.00
_cell_angle_gamma 90.00
_symmetry_space_group_name_H-M 'P 4/m m m'
_symmetry_Int_Tables_number 123
_symmetry_space_group_name_Hall '-P 4 2'
loop_
_atom_site_label
_atom_site_type_symbol
_atom_site_fract_x
_atom_site_fract_y
_atom_site_fract_z
Li1 Li 0.000 0.000 0.000
Zn1 Zn 0.000 0.000 0.500
P1 P 0.500 0.500 0.205
```

***

No. 10
The following is a PBE-GGA calculation of crystalline GdDyZn2 at its relaxed geometry, from Alexandria via LeMat-Bulk.

Properties
Energy relative to the elements: -0.12 eV/atom
E above lowest polymorph: 0.2255 eV per atom

Structure (CIF):
```
data_GdDyZn2
_chemical_formula_sum 'Gd3 Dy3 Zn6'
_cell_length_a 3.6417
_cell_length_b 3.6417
_cell_length_c 26.5902
_cell_angle_alpha 90.00
_cell_angle_beta 90.00
_cell_angle_gamma 120.00
_symmetry_space_group_name_H-M 'R -3 m'
_symmetry_Int_Tables_number 166
_symmetry_space_group_name_Hall '-R 3 2"'
loop_
_atom_site_label
_atom_site_type_symbol
_atom_site_fract_x
_atom_site_fract_y
_atom_site_fract_z
Gd1 Gd 0.0000 0.0000 0.0000
Dy1 Dy 0.0000 0.0000 0.5000
Zn1 Zn 0.0000 0.0000 0.2487
```

***

No. 11
The following is a PBE-GGA calculation of crystalline YTaMo2 at its relaxed geometry, from Alexandria via LeMat-Bulk.

Properties
Energy relative to the elements: 0.29 eV/atom
E above lowest polymorph: 0.0925 eV per atom

Structure (CIF):
```
data_YTaMo2
_chemical_formula_sum 'Y2 Ta2 Mo4'
_cell_length_a 3.267
_cell_length_b 4.854
_cell_length_c 9.600
_cell_angle_alpha 90.00
_cell_angle_beta 90.00
_cell_angle_gamma 90.00
_symmetry_space_group_name_H-M 'C m m 2'
_symmetry_Int_Tables_number 35
loop_
_symmetry_equiv_pos_as_xyz
'x,y,z'
'-x,-y,z'
'-x,y,z'
'x,-y,z'
'x+1/2,y+1/2,z'
'-x+1/2,-y+1/2,z'
'-x+1/2,y+1/2,z'
'x+1/2,-y+1/2,z'
loop_
_atom_site_label
_atom_site_type_symbol
_atom_site_fract_x
_atom_site_fract_y
_atom_site_fract_z
Y1 Y 0.000 0.000 0.000
Ta1 Ta 0.000 0.500 0.706
Mo1 Mo 0.000 0.000 0.481
Mo2 Mo 0.000 0.500 0.267
```

***

No. 12
The following is a PBE-GGA calculation of crystalline K2Cr2Fe at its relaxed geometry, from Alexandria via LeMat-Bulk.

Properties
Energy relative to the elements: 1.17 eV/atom
E above lowest polymorph: 0.0000 eV per atom

Structure (CIF):
```
data_K2Cr2Fe
_chemical_formula_sum 'K4 Cr4 Fe2'
_cell_length_a 5.753
_cell_length_b 5.753
_cell_length_c 6.044
_cell_angle_alpha 90.00
_cell_angle_beta 90.00
_cell_angle_gamma 90.00
_symmetry_space_group_name_H-M 'P 4/m b m'
_symmetry_Int_Tables_number 127
_symmetry_space_group_name_Hall '-P 4 2ab'
loop_
_atom_site_label
_atom_site_type_symbol
_atom_site_fract_x
_atom_site_fract_y
_atom_site_fract_z
K1 K 0.202 0.298 0.000
Cr1 Cr 0.127 0.627 0.500
Fe1 Fe 0.000 0.000 0.500
```

***

Respective Fermi-level density of states values: 0.891 0.748 0.523 0.672 0.450 0.029 1.954 0.011 0.120 0.908 1.178 0.131 states/eV per atom.
Respective final energy values: -18.3 -18.6 -43.1 -88.9 -58.6 -57.6 -19.4 -15.2 -14.3 -21.7 -38.8 -24.1 eV per formula unit.